Entry 1:
A geometry-optimized Mg2Ge2Te structure, computed with GGA-PBE.

The total energy is -3.091 eV/atom. The energy above the most stable polymorph in this dataset comes out at 122 meV per atom. The formation energy from raw total energies is 0.1 eV per formula unit.

The space group is I4/mmm (No. 139) and the conventional cell measures 4.692, 4.692 and 10.569 Å, with angles of 90.00, 90.00 and 90.00 degrees. Symmetry generates all atoms from Mg at (0.000, 0.500, 0.250), Ge at (0.000, 0.000, 0.113) and Te at (0.000, 0.000, 0.500).

---

Entry 2:
A geometry-optimized Mg2Ge2Te structure, computed with GGA-PBE.

The total energy is -3.213 eV/atom. The energy above the most stable polymorph in this dataset comes out at 0 meV per atom. The formation energy from raw total energies is -0.5 eV per formula unit.

The space group is P4/mbm (No. 127) and the conventional cell measures 8.346, 8.346 and 3.196 Å, with angles of 90.00, 90.00 and 90.00 degrees. Symmetry generates all atoms from Mg at (0.187, 0.313, 0.000), Ge at (0.107, 0.607, 0.500) and Te at (0.000, 0.000, 0.000).

---

Entry 3:
A geometry-optimized Mg3Ge5Te12 structure, computed with GGA-PBE.

The total energy is -3.393 eV/atom. The formation energy from raw total energies is -2.3 eV per formula unit.

The space group is Ia-3d (No. 230) and the conventional cell measures 17.193, 17.193 and 17.193 Å, with angles of 90.00, 90.00 and 90.00 degrees. Symmetry generates all atoms from Mg at (0.000, 0.250, 0.125), Ge at (0.000, 0.000, 0.000), Ge at (0.000, 0.250, 0.375) and Te at (0.022, 0.064, 0.654).

---

Entry 4:
A geometry-optimized MgGe2Te4 structure, computed with GGA-PBE.

The total energy is -3.527 eV/atom. The formation energy from raw total energies is -1.3 eV per formula unit.

The space group is P-42m (No. 111) and the conventional cell measures 6.373, 6.373 and 5.897 Å, with angles of 90.00, 90.00 and 90.00 degrees. Symmetry generates all atoms from Mg at (0.000, 0.000, 0.000), Ge at (0.000, 0.500, 0.500) and Te at (0.274, 0.274, 0.228).

---

Entry 5:
A geometry-optimized Mg2Ge2Te structure, computed with GGA-PBE.

The total energy is -3.152 eV/atom. The energy above the most stable polymorph in this dataset comes out at 61 meV per atom. The formation energy from raw total energies is -0.2 eV per formula unit.

The space group is P4/mbm (No. 127) and the conventional cell measures 8.306, 8.306 and 3.227 Å, with angles of 90.00, 90.00 and 90.00 degrees. Symmetry generates all atoms from Mg at (0.185, 0.315, 0.000), Ge at (0.113, 0.613, 0.500) and Te at (0.000, 0.000, 0.500).

---

Entry 6:
A geometry-optimized MgGe2Te structure, computed with GGA-PBE.

The total energy is -3.307 eV/atom. The energy above the most stable polymorph in this dataset comes out at 0 meV per atom. The formation energy from raw total energies is 0.7 eV per formula unit.

The space group is I-42d (No. 122) and the conventional cell measures 6.317, 6.317 and 12.410 Å, with angles of 90.00, 90.00 and 90.00 degrees. Symmetry generates all atoms from Mg at (0.000, 0.000, 0.000), Ge at (0.239, 0.250, 0.125) and Te at (0.000, 0.000, 0.500).

---

Entry 7:
A geometry-optimized MgGeTe structure, computed with GGA-PBE.

The total energy is -3.271 eV/atom. The formation energy from raw total energies is -0.5 eV per formula unit.

The space group is R-3m (No. 166, hexagonal axes) and the conventional cell measures 3.9738, 3.9738 and 36.6526 Å, with angles of 90.00, 90.00 and 120.00 degrees. Symmetry generates all atoms from Mg at (0.0000, 0.0000, 0.0711), Ge at (0.0000, 0.0000, 0.3474) and Te at (0.0000, 0.0000, 0.2179).

---

Entry 8:
A geometry-optimized Mg3GeTe structure, computed with GGA-PBE.

The total energy is -2.700 eV/atom. The formation energy from raw total energies is -1.0 eV per formula unit.

The space group is Pm-3m (No. 221) and the conventional cell measures 5.068, 5.068 and 5.068 Å, with angles of 90.00, 90.00 and 90.00 degrees. Symmetry generates all atoms from Mg at (0.000, 0.000, 0.500), Ge at (0.000, 0.000, 0.000) and Te at (0.500, 0.500, 0.500).